[1]
Here is Pr3AlCu8 after structural relaxation from Alexandria. Energies are from PBE-GGA.

Cell: 9.1188 9.1188 9.1188 Å, 33.66 33.66 33.66°
Fractional coordinates of all 12 atoms:
Pr: 0.0000 0.0000 0.0000
Pr: 0.1252 0.1252 0.1252
Pr: 0.6141 0.6141 0.6141
Al: 0.4895 0.4895 0.4895
Cu: 0.0536 0.0536 0.5639
Cu: 0.0536 0.5639 0.0536
Cu: 0.0681 0.5589 0.5589
Cu: 0.3090 0.3090 0.3090
Cu: 0.5589 0.0681 0.5589
Cu: 0.5589 0.5589 0.0681
Cu: 0.5639 0.0536 0.0536
Cu: 0.8100 0.8100 0.8100

Calculated values
Space group: R3m (160)
Total magnetic moment, Bohr magnetons per cell: 0.0
V, Å³/atom: 17.30
Formation energy, eV per atom: -0.114

---

[2]
Here is InPtRhS2 after structural relaxation from Alexandria. Energies are from PBE-GGA.

Cell: 4.6252 4.6252 5.0897 Å, 90.00 90.00 90.00°
Fractional coordinates of all 5 atoms:
In: 0.0000 0.0000 0.0000
Pt: 0.5000 0.5000 0.5000
Rh: 0.5000 0.5000 0.0000
S: 0.0000 0.5000 0.5000
S: 0.5000 0.0000 0.5000

Calculated values
Space group: P4/mmm (123)
Total magnetic moment, Bohr magnetons per cell: 0.9
V, Å³/atom: 21.78
Formation energy (no corrections), kJ/mol of atoms: 52.99
Distance to the lowest polymorph of the same formula, meV/atom: 193